(1)
La3Er2UN6: optimized geometry, PBE-GGA.

## Properties
Its energy relative to the elements, uncorrected is -1.52 eV/atom. For the density of states at the Fermi level, the calculation gives 5.6 states/eV/f.u.

Cell and atoms, written as CIF:
```
data_La3Er2UN6
_chemical_formula_sum 'La6 Er4 U2 N12'
_cell_length_a 6.1047
_cell_length_b 10.5529
_cell_length_c 6.3044
_cell_angle_alpha 90.00
_cell_angle_beta 108.78
_cell_angle_gamma 90.00
_symmetry_space_group_name_H-M 'C 1 2/m 1'
_symmetry_Int_Tables_number 12
_symmetry_space_group_name_Hall '-C 2y'
loop_
_atom_site_label
_atom_site_fract_x
_atom_site_fract_y
_atom_site_fract_z
_atom_site_occupancy
La1 0.0000 0.0000 0.0000 1
La2 0.0000 0.3308 0.0000 1
Er1 0.0000 0.1663 0.5000 1
U1 0.0000 0.5000 0.5000 1
N1 0.2259 0.3444 0.7112 1
N2 0.2404 0.5000 0.2852 1
```

(2)
La4ErU3N8: optimized geometry, PBE-GGA.

## Properties
Its energy relative to the elements, uncorrected is -1.44 eV/atom. For the density of states at the Fermi level, the calculation gives 12.3 states/eV/f.u.

Cell and atoms, written as CIF:
```
data_La4ErU3N8
_chemical_formula_sum 'La12 Er3 U9 N24'
_cell_length_a 7.0584
_cell_length_b 7.0584
_cell_length_c 17.8018
_cell_angle_alpha 90.00
_cell_angle_beta 90.00
_cell_angle_gamma 120.00
_symmetry_space_group_name_H-M 'R -3 m'
_symmetry_Int_Tables_number 166
_symmetry_space_group_name_Hall '-R 3 2"'
loop_
_atom_site_label
_atom_site_fract_x
_atom_site_fract_y
_atom_site_fract_z
_atom_site_occupancy
La1 0.0000 0.0000 0.0000 1
La2 0.0000 0.5000 0.0000 1
Er1 0.0000 0.0000 0.5000 1
U1 0.0000 0.5000 0.5000 1
N1 0.0000 0.0000 0.2324 1
N2 0.0152 0.5076 0.7672 1
```

(3)
LaEr2VN4: optimized geometry, PBE-GGA.

## Properties
Its energy relative to the elements, uncorrected is -1.43 eV/atom. For the density of states at the Fermi level, the calculation gives 3.5 states/eV/f.u.

Cell and atoms, written as CIF:
```
data_LaEr2VN4
_chemical_formula_sum 'La4 Er8 V4 N16'
_cell_length_a 3.3915
_cell_length_b 11.7902
_cell_length_c 11.6739
_cell_angle_alpha 90.00
_cell_angle_beta 90.00
_cell_angle_gamma 90.00
_symmetry_space_group_name_H-M 'C m c m'
_symmetry_Int_Tables_number 63
_symmetry_space_group_name_Hall '-C 2c 2'
loop_
_atom_site_label
_atom_site_fract_x
_atom_site_fract_y
_atom_site_fract_z
_atom_site_occupancy
La1 0.0000 0.0830 0.2500 1
Er1 0.0000 0.3707 0.0423 1
V1 0.0000 0.1762 0.7500 1
N1 0.0000 0.0000 0.0000 1
N2 0.0000 0.2624 0.6222 1
N3 0.0000 0.4187 0.2500 1
```

(4)
LaErZrN3: optimized geometry, PBE-GGA.

## Properties
Its energy relative to the elements, uncorrected is -1.52 eV/atom. For the density of states at the Fermi level, the calculation gives 2.4 states/eV/f.u.

Cell and atoms, written as CIF:
```
data_LaErZrN3
_chemical_formula_sum 'La2 Er2 Zr2 N6'
_cell_length_a 5.9770
_cell_length_b 3.4927
_cell_length_c 8.9108
_cell_angle_alpha 90.00
_cell_angle_beta 102.72
_cell_angle_gamma 90.00
_symmetry_space_group_name_H-M 'P 1 21/m 1'
_symmetry_Int_Tables_number 11
_symmetry_space_group_name_Hall '-P 2yb'
loop_
_atom_site_label
_atom_site_fract_x
_atom_site_fract_y
_atom_site_fract_z
_atom_site_occupancy
La1 0.1521 0.2500 0.1953 1
Er1 0.2684 0.7500 0.5437 1
Zr1 0.3618 0.2500 0.8564 1
N1 0.0587 0.2500 0.6676 1
N2 0.2724 0.7500 0.9807 1
N3 0.4605 0.7500 0.3393 1
```

Question: Look up the density of states at the Fermi level of the first one.
Answer: 5.6 states/eV/f.u.

Question: Which value of energy relative to the elements, uncorrected does entry 3 give?
Answer: -1.43 eV/atom

Question: Which of these has the lowest density of states at the Fermi level?
Answer: LaErZrN3